No. 1
NpSbN2: relaxed, PBE.

Properties
formation energy without anion corrections	-0.513	eV per atom
crystal system	trigonal
density of states at the Fermi level	5.907	states/eV/f.u.

```
data_NpSbN2
_chemical_formula_sum 'Np3 Sb3 N6'
_space_group_name_H-M_alt 'R -3 m'
_space_group_IT_number 166
_space_group_name_Hall '-R 3 2"'
_cell_length_a 3.5195
_cell_length_b 3.5195
_cell_length_c 19.8481
_cell_angle_alpha 90.00
_cell_angle_beta 90.00
_cell_angle_gamma 120.00
loop_
_atom_site_label
_atom_site_type_symbol
_atom_site_fract_x
_atom_site_fract_y
_atom_site_fract_z
Np1 Np 0.0000 0.0000 0.0000
Sb1 Sb 0.0000 0.0000 0.5000
N1 N 0.0000 0.0000 0.3811
```

=====

No. 2
CdRe2Pb: relaxed, PBE.

Properties
energy relative to the elements	1.09	eV/atom
crystal system	orthorhombic
density of states at the Fermi level	4.203	states/eV/f.u.
ΔE to the lowest computed polymorph	754	meV/atom

```
data_CdRe2Pb
_chemical_formula_sum 'Cd2 Re4 Pb2'
_space_group_name_H-M_alt 'I m m m'
_space_group_IT_number 71
_space_group_name_Hall '-I 2 2'
_cell_length_a 3.124
_cell_length_b 4.930
_cell_length_c 9.590
_cell_angle_alpha 90.00
_cell_angle_beta 90.00
_cell_angle_gamma 90.00
loop_
_atom_site_label
_atom_site_type_symbol
_atom_site_fract_x
_atom_site_fract_y
_atom_site_fract_z
Cd1 Cd 0.000 0.000 0.000
Re1 Re 0.000 0.500 0.245
Pb1 Pb 0.000 0.000 0.500
```

=====

No. 3
LiPmH4: relaxed, PBE.

Properties
crystal system	tetragonal
ΔE to the lowest computed polymorph	0	meV/atom

```
data_LiPmH4
_chemical_formula_sum 'Li2 Pm2 H8'
_space_group_name_H-M_alt 'P 4/n m m'
_space_group_IT_number 129
_cell_length_a 3.581
_cell_length_b 3.581
_cell_length_c 8.769
_cell_angle_alpha 90.00
_cell_angle_beta 90.00
_cell_angle_gamma 90.00
loop_
_space_group_symop_operation_xyz
'x,y,z'
'-x,-y,-z'
'-y+1/2,x,z'
'y+1/2,-x,-z'
'-x+1/2,-y+1/2,z'
'x+1/2,y+1/2,-z'
'y,-x+1/2,z'
'-y,x+1/2,-z'
'x+1/2,-y,-z'
'-x+1/2,y,z'
'-y,-x,-z'
'y,x,z'
'-x,y+1/2,-z'
'x,-y+1/2,z'
'y+1/2,x+1/2,-z'
'-y+1/2,-x+1/2,z'
loop_
_atom_site_label
_atom_site_type_symbol
_atom_site_fract_x
_atom_site_fract_y
_atom_site_fract_z
Li1 Li 0.250 0.250 0.095
Pm1 Pm 0.250 0.250 0.672
H1 H 0.250 0.250 0.325
H2 H 0.250 0.750 0.153
H3 H 0.250 0.750 0.500
```

=====

No. 4
CsPaCrN4: relaxed, PBE.

Properties
formation energy without anion corrections	-0.826	eV per atom
crystal system	monoclinic
density of states at the Fermi level	0.000	states/eV/f.u.

```
data_CsPaCrN4
_chemical_formula_sum 'Cs2 Pa2 Cr2 N8'
_space_group_name_H-M_alt 'P 1 21/m 1'
_space_group_IT_number 11
_space_group_name_Hall '-P 2yb'
_cell_length_a 5.850
_cell_length_b 5.703
_cell_length_c 8.363
_cell_angle_alpha 90.00
_cell_angle_beta 106.95
_cell_angle_gamma 90.00
loop_
_atom_site_label
_atom_site_type_symbol
_atom_site_fract_x
_atom_site_fract_y
_atom_site_fract_z
Cs1 Cs 0.219 0.250 0.430
Pa1 Pa 0.272 0.250 0.951
Cr1 Cr 0.262 0.750 0.144
N1 N 0.058 0.750 0.951
N2 N 0.064 0.750 0.263
N3 N 0.459 0.514 0.155
```

=====

No. 5
Al3TcN: relaxed, PBE.

Properties
formation energy without anion corrections	1.189	eV per atom
crystal system	cubic
density of states at the Fermi level	3.035	states/eV/f.u.
ΔE to the lowest computed polymorph	1379	meV/atom

```
data_Al3TcN
_chemical_formula_sum 'Al3 Tc1 N1'
_space_group_name_H-M_alt 'P m -3 m'
_space_group_IT_number 221
_space_group_name_Hall '-P 4 2 3'
_cell_length_a 4.761
_cell_length_b 4.761
_cell_length_c 4.761
_cell_angle_alpha 90.00
_cell_angle_beta 90.00
_cell_angle_gamma 90.00
loop_
_atom_site_label
_atom_site_type_symbol
_atom_site_fract_x
_atom_site_fract_y
_atom_site_fract_z
Al1 Al 0.000 0.000 0.500
Tc1 Tc 0.000 0.000 0.000
N1 N 0.500 0.500 0.500
```

=====

No. 6
LaMo2Au: relaxed, PBE.

Properties
energy relative to the elements	0.09	eV/atom
crystal system	tetragonal
density of states at the Fermi level	5.505	states/eV/f.u.
ΔE to the lowest computed polymorph	0	meV/atom

```
data_LaMo2Au
_chemical_formula_sum 'La1 Mo2 Au1'
_space_group_name_H-M_alt 'P 4 m m'
_space_group_IT_number 99
_space_group_name_Hall 'P 4 -2'
_cell_length_a 3.273
_cell_length_b 3.273
_cell_length_c 7.704
_cell_angle_alpha 90.00
_cell_angle_beta 90.00
_cell_angle_gamma 90.00
loop_
_atom_site_label
_atom_site_type_symbol
_atom_site_fract_x
_atom_site_fract_y
_atom_site_fract_z
La1 La 0.000 0.000 0.000
Mo1 Mo 0.000 0.000 0.461
Mo2 Mo 0.500 0.500 0.298
Au1 Au 0.500 0.500 0.696
```

=====

No. 7
Dy4Sb2PbSe: relaxed, PBE.

Properties
formation energy without anion corrections	-1.119	eV per atom
crystal system	monoclinic
density of states at the Fermi level	1.641	states/eV/f.u.

```
data_Dy4Sb2PbSe
_chemical_formula_sum 'Dy4 Sb2 Pb1 Se1'
_space_group_name_H-M_alt 'P 1 2/m 1'
_space_group_IT_number 10
_space_group_name_Hall '-P 2y'
_cell_length_a 7.511
_cell_length_b 4.315
_cell_length_c 7.526
_cell_angle_alpha 90.00
_cell_angle_beta 109.27
_cell_angle_gamma 90.00
loop_
_atom_site_label
_atom_site_type_symbol
_atom_site_fract_x
_atom_site_fract_y
_atom_site_fract_z
Dy1 Dy 0.246 0.000 0.247
Dy2 Dy 0.248 0.500 0.755
Sb1 Sb 0.500 0.000 0.000
Sb2 Sb 0.500 0.500 0.500
Pb1 Pb 0.000 0.000 0.500
Se1 Se 0.000 0.500 0.000
```

=====

No. 8
PrEr4Lu: relaxed, PBE.

Properties
energy relative to the elements	0.27	eV/atom
crystal system	cubic
density of states at the Fermi level	10.244	states/eV/f.u.

```
data_PrEr4Lu
_chemical_formula_sum 'Pr4 Er16 Lu4'
_space_group_name_H-M_alt 'F -4 3 m'
_space_group_IT_number 216
_space_group_name_Hall 'F -4 2 3'
_cell_length_a 9.248
_cell_length_b 9.248
_cell_length_c 9.248
_cell_angle_alpha 90.00
_cell_angle_beta 90.00
_cell_angle_gamma 90.00
loop_
_atom_site_label
_atom_site_type_symbol
_atom_site_fract_x
_atom_site_fract_y
_atom_site_fract_z
Pr1 Pr 0.000 0.000 0.000
Er1 Er 0.125 0.125 0.625
Lu1 Lu 0.250 0.250 0.250
```